[1]
KPaS3Cl PBE optimized geometry; spin magnetization = 0.000 μB per formula unit; crystal system = monoclinic; space group = C2/c (15); uncorrected formation energy = -1.18 eV/atom
1.0
3.677 -9.267 0.000
3.677 9.267 0.000
-2.284 0.000 4.829
K Pa S Cl
2 2 6 2
Direct
0.057 0.943 0.750
0.943 0.057 0.250
0.309 0.691 0.750
0.691 0.309 0.250
0.072 0.688 0.418
0.312 0.928 0.082
0.474 0.526 0.750
0.526 0.474 0.250
0.688 0.072 0.918
0.928 0.312 0.582
0.352 0.648 0.250
0.648 0.352 0.750


[2]
KBaSr PBE optimized geometry; spin magnetization = 0.000 μB per formula unit; crystal system = cubic; Fermi-level density of states = 1.721 states/eV/atom; space group = F-43m (216); energy above the lowest structure with this stoichiometry = 350 meV per atom; calculated formation energy = 409.7 meV/atom
1.0
0.000 4.825 4.825
4.825 0.000 4.825
4.825 4.825 0.000
K Ba Sr
1 1 1
Direct
0.000 0.000 0.000
0.750 0.750 0.750
0.250 0.250 0.250


Number 1: E -5.321 eV per atom. Number 2: E -1.158 eV per atom.